Record 1
DFT (GGA-PBE) results for a geometry-optimized PrInCu structure.

Calculated values
Raw total energy ... -3.97 eV/atom

```
data_PrInCu
_space_group_name_H-M_alt 'P -6 2 m'
_space_group_IT_number 189
_space_group_name_Hall 'P -6 -2'
_cell_length_a 7.1855
_cell_length_b 7.1855
_cell_length_c 4.7307
_cell_angle_alpha 90.00
_cell_angle_beta 90.00
_cell_angle_gamma 120.00
loop_
_atom_site_label
_atom_site_fract_x
_atom_site_fract_y
_atom_site_fract_z
Pr1 0.0000 0.5647 0.0000
In1 0.0000 0.0000 0.0000
In2 0.3333 0.6667 0.5000
Cu1 0.0000 0.2216 0.5000
```



Record 2
DFT (GGA-PBE) results for a geometry-optimized PrInCu structure.

Calculated values
Raw total energy ... -4.12 eV/atom

```
data_PrInCu
_space_group_name_H-M_alt 'P -6 2 m'
_space_group_IT_number 189
_space_group_name_Hall 'P -6 -2'
_cell_length_a 7.4613
_cell_length_b 7.4613
_cell_length_c 4.2873
_cell_angle_alpha 90.00
_cell_angle_beta 90.00
_cell_angle_gamma 120.00
loop_
_atom_site_label
_atom_site_fract_x
_atom_site_fract_y
_atom_site_fract_z
Pr1 0.0000 0.5861 0.0000
In1 0.0000 0.2457 0.5000
Cu1 0.0000 0.0000 0.0000
Cu2 0.3333 0.6667 0.5000
```



Record 3
DFT (GGA-PBE) results for a geometry-optimized PrInCu structure.

Calculated values
Raw total energy ... -3.69 eV/atom

```
data_PrInCu
_space_group_name_H-M_alt 'P -6 2 m'
_space_group_IT_number 189
_space_group_name_Hall 'P -6 -2'
_cell_length_a 8.6067
_cell_length_b 8.6067
_cell_length_c 3.3395
_cell_angle_alpha 90.00
_cell_angle_beta 90.00
_cell_angle_gamma 120.00
loop_
_atom_site_label
_atom_site_fract_x
_atom_site_fract_y
_atom_site_fract_z
Pr1 0.0000 0.3020 0.0000
In1 0.0000 0.0000 0.5000
In2 0.3333 0.6667 0.0000
Cu1 0.0000 0.6394 0.5000
```



Record 4
DFT (GGA-PBE) results for a geometry-optimized PrIn2CuPt structure.

Calculated values
Raw total energy ... -4.51 eV/atom

```
data_PrIn2CuPt
_space_group_name_H-M_alt 'P 4/n m m'
_space_group_IT_number 129
_cell_length_a 4.5468
_cell_length_b 4.5468
_cell_length_c 10.7870
_cell_angle_alpha 90.00
_cell_angle_beta 90.00
_cell_angle_gamma 90.00
loop_
_space_group_symop_operation_xyz
'x,y,z'
'-x,-y,-z'
'-y+1/2,x,z'
'y+1/2,-x,-z'
'-x+1/2,-y+1/2,z'
'x+1/2,y+1/2,-z'
'y,-x+1/2,z'
'-y,x+1/2,-z'
'x+1/2,-y,-z'
'-x+1/2,y,z'
'-y,-x,-z'
'y,x,z'
'-x,y+1/2,-z'
'x,-y+1/2,z'
'y+1/2,x+1/2,-z'
'-y+1/2,-x+1/2,z'
loop_
_atom_site_label
_atom_site_fract_x
_atom_site_fract_y
_atom_site_fract_z
Pr1 0.2500 0.2500 0.2446
In1 0.2500 0.2500 0.8845
In2 0.2500 0.7500 0.5000
Cu1 0.2500 0.7500 0.0000
Pt1 0.2500 0.2500 0.6412
```



Record 5
DFT (GGA-PBE) results for a geometry-optimized TbPr2In3CuPt2 structure.

Calculated values
Raw total energy ... -5.04 eV/atom

```
data_TbPr2In3CuPt2
_space_group_name_H-M_alt 'A m m 2'
_space_group_IT_number 38
_cell_length_a 3.9537
_cell_length_b 13.4432
_cell_length_c 7.7837
_cell_angle_alpha 90.00
_cell_angle_beta 90.00
_cell_angle_gamma 90.00
loop_
_space_group_symop_operation_xyz
'x,y,z'
'-x,-y,z'
'-x,y,z'
'x,-y,z'
'x,y+1/2,z+1/2'
'-x,-y+1/2,z+1/2'
'-x,y+1/2,z+1/2'
'x,-y+1/2,z+1/2'
loop_
_atom_site_label
_atom_site_fract_x
_atom_site_fract_y
_atom_site_fract_z
Tb1 0.0000 0.0000 0.0000
Pr1 0.0000 0.2073 0.3770
In1 0.5000 0.0000 0.3364
In2 0.5000 0.1222 0.7102
Cu1 0.0000 0.0000 0.5881
Pt1 0.5000 0.1616 0.0826
```



Record 6
DFT (GGA-PBE) results for a geometry-optimized PrInCu2Sn structure.

Calculated values
Raw total energy ... -4.19 eV/atom

```
data_PrInCu2Sn
_space_group_name_H-M_alt 'P 4/n m m'
_space_group_IT_number 129
_cell_length_a 4.4293
_cell_length_b 4.4293
_cell_length_c 10.7818
_cell_angle_alpha 90.00
_cell_angle_beta 90.00
_cell_angle_gamma 90.00
loop_
_space_group_symop_operation_xyz
'x,y,z'
'-x,-y,-z'
'-y+1/2,x,z'
'y+1/2,-x,-z'
'-x+1/2,-y+1/2,z'
'x+1/2,y+1/2,-z'
'y,-x+1/2,z'
'-y,x+1/2,-z'
'x+1/2,-y,-z'
'-x+1/2,y,z'
'-y,-x,-z'
'y,x,z'
'-x,y+1/2,-z'
'x,-y+1/2,z'
'y+1/2,x+1/2,-z'
'-y+1/2,-x+1/2,z'
loop_
_atom_site_label
_atom_site_fract_x
_atom_site_fract_y
_atom_site_fract_z
Pr1 0.2500 0.2500 0.2394
In1 0.2500 0.7500 0.5000
Cu1 0.2500 0.2500 0.6383
Cu2 0.2500 0.7500 0.0000
Sn1 0.2500 0.2500 0.8714
```



Record 7
DFT (GGA-PBE) results for a geometry-optimized In3Cu2Pt3 structure.

Calculated values
Raw total energy ... -4.34 eV/atom

```
data_In3Cu2Pt3
_space_group_name_H-M_alt 'P 1 2/m 1'
_space_group_IT_number 10
_cell_length_a 4.7306
_cell_length_b 2.9523
_cell_length_c 10.6706
_cell_angle_alpha 90.00
_cell_angle_beta 99.16
_cell_angle_gamma 90.00
loop_
_space_group_symop_operation_xyz
'x,y,z'
'-x,-y,-z'
'-x,y,-z'
'x,-y,z'
loop_
_atom_site_label
_atom_site_fract_x
_atom_site_fract_y
_atom_site_fract_z
In1 0.0000 0.0000 0.0000
In2 0.3435 0.5000 0.7316
Cu1 0.2386 0.5000 0.4683
Pt1 0.1549 0.0000 0.2660
Pt2 0.5000 0.5000 0.0000
```



Record 8
DFT (GGA-PBE) results for a geometry-optimized InCuRePt structure.

Calculated values
Distance to the lowest polymorph of the same formula ... 0 meV per atom
Raw total energy ... -5.87 eV/atom

```
data_InCuRePt
_space_group_name_H-M_alt 'F -4 3 m'
_space_group_IT_number 216
_space_group_name_Hall 'F -4 2 3'
_cell_length_a 6.3622
_cell_length_b 6.3622
_cell_length_c 6.3622
_cell_angle_alpha 90.00
_cell_angle_beta 90.00
_cell_angle_gamma 90.00
loop_
_atom_site_label
_atom_site_fract_x
_atom_site_fract_y
_atom_site_fract_z
In1 0.0000 0.0000 0.0000
Cu1 0.2500 0.2500 0.2500
Re1 0.0000 0.0000 0.5000
Pt1 0.2500 0.2500 0.7500
```



Record 9
DFT (GGA-PBE) results for a geometry-optimized InCuRePt structure.

Calculated values
Distance to the lowest polymorph of the same formula ... 24 meV per atom
Raw total energy ... -5.84 eV/atom

```
data_InCuRePt
_space_group_name_H-M_alt 'F -4 3 m'
_space_group_IT_number 216
_space_group_name_Hall 'F -4 2 3'
_cell_length_a 6.3639
_cell_length_b 6.3639
_cell_length_c 6.3639
_cell_angle_alpha 90.00
_cell_angle_beta 90.00
_cell_angle_gamma 90.00
loop_
_atom_site_label
_atom_site_fract_x
_atom_site_fract_y
_atom_site_fract_z
In1 0.0000 0.0000 0.0000
Cu1 0.2500 0.2500 0.2500
Re1 0.2500 0.2500 0.7500
Pt1 0.0000 0.0000 0.5000
```



Record 10
DFT (GGA-PBE) results for a geometry-optimized InCu3PtS4 structure.

Calculated values
Raw total energy ... -4.13 eV/atom

```
data_InCu3PtS4
_space_group_name_H-M_alt 'P -4 3 m'
_space_group_IT_number 215
_space_group_name_Hall 'P -4 2 3'
_cell_length_a 5.6330
_cell_length_b 5.6330
_cell_length_c 5.6330
_cell_angle_alpha 90.00
_cell_angle_beta 90.00
_cell_angle_gamma 90.00
loop_
_atom_site_label
_atom_site_fract_x
_atom_site_fract_y
_atom_site_fract_z
In1 0.0000 0.0000 0.0000
Cu1 0.0000 0.5000 0.5000
Pt1 0.5000 0.5000 0.5000
S1 0.2561 0.2561 0.2561
```



Record 11
DFT (GGA-PBE) results for a geometry-optimized Sc3In3CuPt2 structure.

Calculated values
Raw total energy ... -5.56 eV/atom

```
data_Sc3In3CuPt2
_space_group_name_H-M_alt 'P -6 2 m'
_space_group_IT_number 189
_space_group_name_Hall 'P -6 -2'
_cell_length_a 7.5977
_cell_length_b 7.5977
_cell_length_c 3.4594
_cell_angle_alpha 90.00
_cell_angle_beta 90.00
_cell_angle_gamma 120.00
loop_
_atom_site_label
_atom_site_fract_x
_atom_site_fract_y
_atom_site_fract_z
Sc1 0.0000 0.5956 0.0000
In1 0.0000 0.2636 0.5000
Cu1 0.0000 0.0000 0.0000
Pt1 0.3333 0.6667 0.5000
```



Record 12
DFT (GGA-PBE) results for a geometry-optimized InCu3PtSe4 structure.

Calculated values
Raw total energy ... -3.83 eV/atom

```
data_InCu3PtSe4
_space_group_name_H-M_alt 'P -4 3 m'
_space_group_IT_number 215
_space_group_name_Hall 'P -4 2 3'
_cell_length_a 5.9098
_cell_length_b 5.9098
_cell_length_c 5.9098
_cell_angle_alpha 90.00
_cell_angle_beta 90.00
_cell_angle_gamma 90.00
loop_
_atom_site_label
_atom_site_fract_x
_atom_site_fract_y
_atom_site_fract_z
In1 0.0000 0.0000 0.0000
Cu1 0.0000 0.5000 0.5000
Pt1 0.5000 0.5000 0.5000
Se1 0.2577 0.2577 0.2577
```



Record 13
DFT (GGA-PBE) results for a geometry-optimized InCuPtSe3 structure.

Calculated values
Raw total energy ... -4.09 eV/atom

```
data_InCuPtSe3
_space_group_name_H-M_alt 'C m c m'
_space_group_IT_number 63
_space_group_name_Hall '-C 2c 2'
_cell_length_a 3.8243
_cell_length_b 12.0717
_cell_length_c 10.8189
_cell_angle_alpha 90.00
_cell_angle_beta 90.00
_cell_angle_gamma 90.00
loop_
_atom_site_label
_atom_site_fract_x
_atom_site_fract_y
_atom_site_fract_z
In1 0.0000 0.1996 0.2500
Cu1 0.0000 0.1301 0.7500
Pt1 0.0000 0.5000 0.0000
Se1 0.0000 0.1349 0.5223
Se2 0.0000 0.4841 0.7500
```



Record 14
DFT (GGA-PBE) results for a geometry-optimized InCuSiPt structure.

Calculated values
Distance to the lowest polymorph of the same formula ... 0 meV per atom
Raw total energy ... -4.47 eV/atom

```
data_InCuSiPt
_space_group_name_H-M_alt 'F -4 3 m'
_space_group_IT_number 216
_space_group_name_Hall 'F -4 2 3'
_cell_length_a 6.3720
_cell_length_b 6.3720
_cell_length_c 6.3720
_cell_angle_alpha 90.00
_cell_angle_beta 90.00
_cell_angle_gamma 90.00
loop_
_atom_site_label
_atom_site_fract_x
_atom_site_fract_y
_atom_site_fract_z
In1 0.0000 0.0000 0.0000
Cu1 0.2500 0.2500 0.7500
Si1 0.0000 0.0000 0.5000
Pt1 0.2500 0.2500 0.2500
```



Record 15
DFT (GGA-PBE) results for a geometry-optimized Sm3In3Cu2Pt structure.

Calculated values
Raw total energy ... -4.55 eV/atom

```
data_Sm3In3Cu2Pt
_space_group_name_H-M_alt 'P -6 2 m'
_space_group_IT_number 189
_space_group_name_Hall 'P -6 -2'
_cell_length_a 7.5579
_cell_length_b 7.5579
_cell_length_c 4.0587
_cell_angle_alpha 90.00
_cell_angle_beta 90.00
_cell_angle_gamma 120.00
loop_
_atom_site_label
_atom_site_fract_x
_atom_site_fract_y
_atom_site_fract_z
Sm1 0.0000 0.5914 0.0000
In1 0.0000 0.2582 0.5000
Cu1 0.3333 0.6667 0.5000
Pt1 0.0000 0.0000 0.0000
```



Record 16
DFT (GGA-PBE) results for a geometry-optimized InCuSnPt structure.

Calculated values
Distance to the lowest polymorph of the same formula ... 0 meV per atom
Raw total energy ... -4.21 eV/atom

```
data_InCuSnPt
_space_group_name_H-M_alt 'F -4 3 m'
_space_group_IT_number 216
_space_group_name_Hall 'F -4 2 3'
_cell_length_a 6.6718
_cell_length_b 6.6718
_cell_length_c 6.6718
_cell_angle_alpha 90.00
_cell_angle_beta 90.00
_cell_angle_gamma 90.00
loop_
_atom_site_label
_atom_site_fract_x
_atom_site_fract_y
_atom_site_fract_z
In1 0.0000 0.0000 0.0000
Cu1 0.2500 0.2500 0.7500
Sn1 0.0000 0.0000 0.5000
Pt1 0.2500 0.2500 0.2500
```



Record 17
DFT (GGA-PBE) results for a geometry-optimized Sr2In4CuPt structure.

Calculated values
Raw total energy ... -3.50 eV/atom

```
data_Sr2In4CuPt
_space_group_name_H-M_alt 'A m m 2'
_space_group_IT_number 38
_cell_length_a 7.9104
_cell_length_b 4.5165
_cell_length_c 11.1804
_cell_angle_alpha 90.00
_cell_angle_beta 90.00
_cell_angle_gamma 90.00
loop_
_space_group_symop_operation_xyz
'x,y,z'
'-x,-y,z'
'-x,y,z'
'x,-y,z'
'x,y+1/2,z+1/2'
'-x,-y+1/2,z+1/2'
'-x,y+1/2,z+1/2'
'x,-y+1/2,z+1/2'
loop_
_atom_site_label
_atom_site_fract_x
_atom_site_fract_y
_atom_site_fract_z
Sr1 0.0000 0.0000 0.0000
Sr2 0.5000 0.0000 0.1207
In1 0.1933 0.0000 0.7100
In2 0.3011 0.0000 0.4067
Cu1 0.0000 0.0000 0.2822
Pt1 0.5000 0.0000 0.8399
```



Record 18
DFT (GGA-PBE) results for a geometry-optimized SrIn5CuPt structure.

Calculated values
Raw total energy ... -3.48 eV/atom

```
data_SrIn5CuPt
_space_group_name_H-M_alt 'I m m 2'
_space_group_IT_number 44
_cell_length_a 4.3996
_cell_length_b 8.0871
_cell_length_c 10.7427
_cell_angle_alpha 90.00
_cell_angle_beta 90.00
_cell_angle_gamma 90.00
loop_
_space_group_symop_operation_xyz
'x,y,z'
'-x,-y,z'
'-x,y,z'
'x,-y,z'
'x+1/2,y+1/2,z+1/2'
'-x+1/2,-y+1/2,z+1/2'
'-x+1/2,y+1/2,z+1/2'
'x+1/2,-y+1/2,z+1/2'
loop_
_atom_site_label
_atom_site_fract_x
_atom_site_fract_y
_atom_site_fract_z
Sr1 0.0000 0.0000 0.0000
In1 0.0000 0.1942 0.3537
In2 0.0000 0.1968 0.6582
In3 0.0000 0.5000 0.9968
Cu1 0.0000 0.5000 0.7523
Pt1 0.0000 0.5000 0.2476
```



Record 19
DFT (GGA-PBE) results for a geometry-optimized Tb3In3CuPt2 structure.

Calculated values
Raw total energy ... -5.05 eV/atom

```
data_Tb3In3CuPt2
_space_group_name_H-M_alt 'P -6 2 m'
_space_group_IT_number 189
_space_group_name_Hall 'P -6 -2'
_cell_length_a 7.6726
_cell_length_b 7.6726
_cell_length_c 3.8364
_cell_angle_alpha 90.00
_cell_angle_beta 90.00
_cell_angle_gamma 120.00
loop_
_atom_site_label
_atom_site_fract_x
_atom_site_fract_y
_atom_site_fract_z
Tb1 0.0000 0.5881 0.0000
In1 0.0000 0.2505 0.5000
Cu1 0.0000 0.0000 0.0000
Pt1 0.3333 0.6667 0.5000
```



Record 20
DFT (GGA-PBE) results for a geometry-optimized Tb3In3Cu2Pt structure.

Calculated values
Raw total energy ... -4.54 eV/atom

```
data_Tb3In3Cu2Pt
_space_group_name_H-M_alt 'P -6 2 m'
_space_group_IT_number 189
_space_group_name_Hall 'P -6 -2'
_cell_length_a 7.5223
_cell_length_b 7.5223
_cell_length_c 4.0003
_cell_angle_alpha 90.00
_cell_angle_beta 90.00
_cell_angle_gamma 120.00
loop_
_atom_site_label
_atom_site_fract_x
_atom_site_fract_y
_atom_site_fract_z
Tb1 0.0000 0.5956 0.0000
In1 0.0000 0.2629 0.5000
Cu1 0.3333 0.6667 0.5000
Pt1 0.0000 0.0000 0.0000
```



Number 1: total magnetic moment 0.004 μB per formula unit. Number 2: total magnetic moment 0.019 μB per formula unit. Number 3: total magnetic moment 0.001 μB per formula unit. Number 4: total magnetic moment 0.009 μB per formula unit. Number 5: total magnetic moment 0.006 μB per formula unit. Number 6: total magnetic moment 0.002 μB per formula unit. Number 7: total magnetic moment 0.000 μB per formula unit. Number 8: total magnetic moment 2.205 μB per formula unit. Number 9: total magnetic moment 2.034 μB per formula unit. Number 10: total magnetic moment 0.001 μB per formula unit. Number 11: total magnetic moment 0.002 μB per formula unit. Number 12: total magnetic moment 0.003 μB per formula unit. Number 13: total magnetic moment 0.003 μB per formula unit. Number 14: total magnetic moment 0.001 μB per formula unit. Number 15: total magnetic moment 0.001 μB per formula unit. Number 16: total magnetic moment 0.000 μB per formula unit. Number 17: total magnetic moment 0.000 μB per formula unit. Number 18: total magnetic moment 0.003 μB per formula unit. Number 19: total magnetic moment 0.004 μB per formula unit. Number 20: total magnetic moment 0.005 μB per formula unit.